An optimized crystal structure of MgGa2HgH, computed with PBE.

```
5
Lattice="4.4132 0.0000 0.0000 0.0000 4.4132 0.0000 0.0000 0.0000 4.3582" Properties=species:S:1:pos:R:3 pbc="T T T"
H 0.0000 0.0000 0.0000
Mg 0.0000 0.0000 2.1791
Hg 2.2066 2.2066 2.1791
Ga 0.0000 2.2066 0.0000
Ga 2.2066 0.0000 0.0000
```

Properties
Its magnetization is 0.000 μB/cell. The value obtained for the energy is -0.15932 Ry/atom. The symmetry is P4/mmm.